Entry 1:
DFT (PBE) results for CaPuCdPt after structural relaxation.

Values from the calculation:
Its formation energy is -401 meV/atom.

a b c (Å): 7.274 7.274 7.274
angles (deg): 90.00 90.00 90.00
Space group F-43m (No. 216)
Asymmetric unit:
Ca1 0.000 0.000 0.000 [4 per cell]
Pu1 0.000 0.000 0.500 [4 per cell]
Cd1 0.250 0.250 0.750 [4 per cell]
Pt1 0.250 0.250 0.250 [4 per cell]

Entry 2:
DFT (PBE) results for RbCa2CdPt after structural relaxation.

Values from the calculation:
Its formation energy is -345 meV/atom.

a b c (Å): 5.643 5.643 5.520
angles (deg): 90.00 90.00 90.00
Space group P4/mmm (No. 123)
Asymmetric unit:
Rb1 0.000 0.000 0.000 [1 per cell]
Ca1 0.000 0.500 0.500 [2 per cell]
Cd1 0.500 0.500 0.000 [1 per cell]
Pt1 0.500 0.500 0.500 [1 per cell]

Entry 3:
DFT (PBE) results for Ca2Cd6PtRh after structural relaxation.

Values from the calculation:
Its formation energy is -143 meV/atom.

a b c (Å): 10.366 10.366 10.366
angles (deg): 90.00 90.00 90.00
Space group Fm-3m (No. 225)
Asymmetric unit:
Ca1 0.250 0.250 0.250 [8 per cell]
Cd1 0.000 0.000 0.248 [24 per cell]
Pt1 0.000 0.000 0.500 [4 per cell]
Rh1 0.000 0.000 0.000 [4 per cell]

Entry 4:
DFT (PBE) results for Ca2CdSb3Pt4 after structural relaxation.

Values from the calculation:
For the energy relative to the elements, uncorrected, the calculation gives -0.70 eV/atom.

a b c (Å): 4.604 4.604 10.763
angles (deg): 90.00 90.00 90.00
Space group P-4m2 (No. 115)
Asymmetric unit:
Ca1 0.000 0.500 0.239 [2 per cell]
Cd1 0.000 0.000 0.500 [1 per cell]
Sb1 0.000 0.500 0.872 [2 per cell]
Sb2 0.500 0.500 0.500 [1 per cell]
Pt1 0.000 0.000 0.000 [1 per cell]
Pt2 0.000 0.500 0.634 [2 per cell]
Pt3 0.500 0.500 0.000 [1 per cell]

Entry 5:
DFT (PBE) results for Ca2CdSi2Pt5 after structural relaxation.

Values from the calculation:
For the energy relative to the elements, uncorrected, the calculation gives -0.78 eV/atom.

a b c (Å): 10.155 10.155 3.495
angles (deg): 90.00 90.00 90.00
Space group P4/mbm (No. 127)
Asymmetric unit:
Ca1 0.176 0.324 0.000 [4 per cell]
Cd1 0.000 0.000 0.000 [2 per cell]
Si1 0.124 0.624 0.000 [4 per cell]
Pt1 0.000 0.500 0.500 [2 per cell]
Pt2 0.063 0.782 0.500 [8 per cell]

Entry 6:
DFT (PBE) results for Ca2CdSi3Pt12 after structural relaxation.

Values from the calculation:
For the energy relative to the elements, uncorrected, the calculation gives -0.37 eV/atom.

a b c (Å): 8.3251 8.3251 17.5480
angles (deg): 90.00 90.00 120.00
Space group R-3m (No. 166, hexagonal axes)
Asymmetric unit:
Ca1 0.0000 0.0000 0.1003 [6 per cell]
Cd1 0.0000 0.0000 0.5000 [3 per cell]
Si1 0.0000 0.5000 0.0000 [9 per cell]
Pt1 0.0221 0.5111 0.8683 [18 per cell]
Pt2 0.0317 0.5158 0.3687 [18 per cell]

Entry 7:
DFT (PBE) results for Ca2CdSi4Pt3 after structural relaxation.

Values from the calculation:
For the energy relative to the elements, uncorrected, the calculation gives -0.76 eV/atom.

a b c (Å): 4.239 4.239 10.261
angles (deg): 90.00 90.00 90.00
Space group P-4m2 (No. 115)
Asymmetric unit:
Ca1 0.000 0.500 0.244 [2 per cell]
Cd1 0.000 0.000 0.500 [1 per cell]
Si1 0.000 0.000 0.000 [1 per cell]
Si2 0.000 0.500 0.648 [2 per cell]
Si3 0.500 0.500 0.000 [1 per cell]
Pt1 0.000 0.500 0.881 [2 per cell]
Pt2 0.500 0.500 0.500 [1 per cell]

Entry 8:
DFT (PBE) results for Ca2CdSi3Pt4 after structural relaxation.

Values from the calculation:
For the energy relative to the elements, uncorrected, the calculation gives -0.83 eV/atom.

a b c (Å): 4.276 4.276 10.319
angles (deg): 90.00 90.00 90.00
Space group P-4m2 (No. 115)
Asymmetric unit:
Ca1 0.000 0.500 0.247 [2 per cell]
Cd1 0.000 0.000 0.500 [1 per cell]
Si1 0.000 0.500 0.880 [2 per cell]
Si2 0.500 0.500 0.500 [1 per cell]
Pt1 0.000 0.000 0.000 [1 per cell]
Pt2 0.000 0.500 0.654 [2 per cell]
Pt3 0.500 0.500 0.000 [1 per cell]

Entry 9:
DFT (PBE) results for CaSmCdPt after structural relaxation.

Values from the calculation:
Its formation energy is -648 meV/atom.

a b c (Å): 7.290 7.290 7.290
angles (deg): 90.00 90.00 90.00
Space group F-43m (No. 216)
Asymmetric unit:
Ca1 0.000 0.000 0.000 [4 per cell]
Sm1 0.000 0.000 0.500 [4 per cell]
Cd1 0.250 0.250 0.250 [4 per cell]
Pt1 0.250 0.250 0.750 [4 per cell]

Entry 10:
DFT (PBE) results for SrCa2CdPt after structural relaxation.

Values from the calculation:
Its formation energy is -466 meV/atom. The calculation puts the energy above the most stable polymorph in this dataset at 0.00 eV per formula unit.

a b c (Å): 5.552 5.552 5.878
angles (deg): 90.00 90.00 90.00
Space group P4/mmm (No. 123)
Asymmetric unit:
Sr1 0.000 0.000 0.000 [1 per cell]
Ca1 0.000 0.500 0.500 [2 per cell]
Cd1 0.500 0.500 0.000 [1 per cell]
Pt1 0.000 0.000 0.500 [1 per cell]

Entry 11:
DFT (PBE) results for Sr2CaCdPt after structural relaxation.

Values from the calculation:
Its formation energy is -457 meV/atom.

a b c (Å): 5.894 5.894 5.531
angles (deg): 90.00 90.00 90.00
Space group P4/mmm (No. 123)
Asymmetric unit:
Sr1 0.000 0.500 0.000 [2 per cell]
Ca1 0.000 0.000 0.500 [1 per cell]
Cd1 0.500 0.500 0.500 [1 per cell]
Pt1 0.000 0.000 0.000 [1 per cell]

Entry 12:
DFT (PBE) results for SrCa2CdPt after structural relaxation.

Values from the calculation:
Its formation energy is -396 meV/atom. The calculation puts the energy above the most stable polymorph in this dataset at 0.35 eV per formula unit.

a b c (Å): 5.542 5.542 5.461
angles (deg): 90.00 90.00 90.00
Space group P4/mmm (No. 123)
Asymmetric unit:
Sr1 0.000 0.000 0.000 [1 per cell]
Ca1 0.000 0.500 0.500 [2 per cell]
Cd1 0.500 0.500 0.000 [1 per cell]
Pt1 0.500 0.500 0.500 [1 per cell]

| no. | energy (eV per cell) | D(E_F) (states/eV per cell) |
| --- | --- | --- |
| 1 | -99.57 | 43.71 |
| 2 | -13.65 | 2.32 |
| 3 | -97.25 | 21.50 |
| 4 | -48.44 | 3.32 |
| 5 | -107.61 | 10.02 |
| 6 | -301.21 | 15.44 |
| 7 | -52.29 | 3.69 |
| 8 | -53.67 | 4.77 |
| 9 | -65.07 | 11.62 |
| 10 | -14.97 | 2.93 |
| 11 | -14.60 | 2.98 |
| 12 | -14.62 | 4.98 |